[1]
Compound: BaLaCo2Os
Source: Alexandria via LeMat-Bulk
Functional: PBE-GGA
Structure: optimized geometry

a = 4.8035 Å, b = 4.8035 Å, c = 5.2387 Å
α = 90.00°, β = 90.00°, γ = 90.00°
With the nearest neighbours (Å) after each atom.
Sites, in units of the cell vectors:
Ba 0.0000 0.0000 0.0000  4 Co 2.40, 2 Os 2.62
La 0.5000 0.5000 0.5000  4 Os 3.40, 8 Co 3.55
Co 0.0000 0.5000 0.0000  2 Ba 2.40
Co 0.5000 0.0000 0.0000  2 Ba 2.40
Os 0.0000 0.0000 0.5000  2 Ba 2.62

Output
- symmetry = No. 123
- calculated volume (Å³ per atom) = 24.17
- formation enthalpy at 0 K (eV per formula unit) = 8.75
- E (eV per atom) = -4.71

[2]
Compound: Na3Er2TeSe6
Source: Alexandria via LeMat-Bulk
Functional: PBE-GGA
Structure: optimized geometry

a = 7.2640 Å, b = 7.2640 Å, c = 7.3763 Å
α = 98.99°, β = 98.99°, γ = 121.01°
With the nearest neighbours (Å) after each atom.
Sites, in units of the cell vectors:
Na 0.0000 0.0000 0.0000  6 Se 3.09
Na 0.3407 0.6593 0.0000  6 Se 3.03-3.06
Na 0.6593 0.3407 0.0000  6 Se 3.03-3.06
Er 0.1706 0.8294 0.5000  6 Se 2.84-2.91
Er 0.8294 0.1706 0.5000  6 Se 2.84-2.91
Te 0.5000 0.5000 0.5000  6 Se 2.82-3.02
Se 0.0732 0.4198 0.2639  2 Er 2.84-2.87, 1 Te 3.02, 3 Na 3.03-3.09
Se 0.2407 0.2407 0.7186  1 Te 2.82, 2 Er 2.91, 3 Na 3.06-3.09
Se 0.4198 0.0732 0.2639  2 Er 2.84-2.87, 1 Te 3.02, 3 Na 3.03-3.09
Se 0.5802 0.9268 0.7361  2 Er 2.84-2.87, 1 Te 3.02, 3 Na 3.03-3.09
Se 0.7593 0.7593 0.2814  1 Te 2.82, 2 Er 2.91, 3 Na 3.06-3.09
Se 0.9268 0.5802 0.7361  2 Er 2.84-2.87, 1 Te 3.02, 3 Na 3.03-3.09

Output
- symmetry = No. 12
- calculated volume (Å³ per atom) = 26.36
- E (eV per atom) = -4.29
- formation energy (no corrections) (eV per atom) = -1.19